(1)
Here is crystalline P2IrOs at its relaxed geometry from Alexandria. Energies are from PBE.

Cell: 3.0501 4.2731 5.2149 Å, 114.11 90.00 90.02°
Closest atoms and distances in Å follow each position.
Positions (direct):
P 0.5233 0.8221 0.6236  2 Os 2.31, 2 Ir 2.33-2.38
P 0.0233 0.3277 0.1305  2 Os 2.29-2.39, 2 Ir 2.32
Ir 0.5233 0.4186 0.8315  4 P 2.32-2.38
Os 0.0234 0.9156 0.3307  4 P 2.29-2.39

Calculated values
Its total DFT energy (no corrections) is -7.9006 eV/atom. The magnetization comes out at 0.00 μB per cell. The calculation puts the energy of formation at -173 meV/atom. The space group is Pm, No. 6.



(2)
Here is crystalline PIrOs2 at its relaxed geometry from Alexandria. Energies are from PBE.

Cell: 2.7923 2.7923 8.6114 Å, 90.00 90.00 120.71°
Closest atoms and distances in Å follow each position.
Positions (direct):
P 0.0000 0.0000 0.5037  2 Os 2.37, 2 Ir 2.41
Ir 0.5000 0.5000 0.2744  2 P 2.41
Os 0.0000 0.0000 0.9952  8 Os 2.69-2.79, 2 Ir 2.77
Os 0.5000 0.5000 0.7267  2 P 2.37

Calculated values
Its total DFT energy (no corrections) is -8.6330 eV/atom. The magnetization comes out at 0.00 μB per cell. The calculation puts the energy of formation at 550 meV/atom. The space group is Cmm2, No. 35.



(3)
Here is crystalline P2IrOs at its relaxed geometry from Alexandria. Energies are from PBE.

Cell: 4.4012 3.7003 7.7456 Å, 90.00 90.00 90.00°
Closest atoms and distances in Å follow each position.
Positions (direct):
P 0.5000 0.0000 0.0470  3 Os 2.30-2.50, 2 Ir 2.43
P 0.5000 0.5000 0.5470  3 Os 2.30-2.50, 2 Ir 2.43
P 0.0000 0.0000 0.2362  3 Ir 2.31-2.50, 2 Os 2.43
P 0.0000 0.5000 0.7362  3 Ir 2.31-2.50, 2 Os 2.43
Ir 0.0000 0.0000 0.9139  5 P 2.31-2.50
Ir 0.0000 0.5000 0.4139  5 P 2.31-2.50
Os 0.5000 0.0000 0.3697  5 P 2.30-2.50
Os 0.5000 0.5000 0.8697  5 P 2.30-2.50

Calculated values
Its total DFT energy (no corrections) is -8.0312 eV/atom. The magnetization comes out at 0.00 μB per cell. The calculation puts the energy of formation at -304 meV/atom. The space group is Amm2, No. 38.



(4)
Here is crystalline P4IrOs at its relaxed geometry from Alexandria. Energies are from PBE.

Cell: 4.8868 4.8868 4.8868 Å, 60.00 60.00 60.00°
Closest atoms and distances in Å follow each position.
Positions (direct):
P 0.6251 0.6251 0.1248  6 P 2.44
P 0.6251 0.1248 0.6251  6 P 2.44
P 0.6251 0.6251 0.6251  6 P 2.44
P 0.1248 0.6251 0.6251  6 P 2.44
Ir 0.2500 0.2500 0.2500  12 P 2.87, 4 Os 2.99
Os 0.0000 0.0000 0.0000  12 P 2.86, 4 Ir 2.99

Calculated values
Its total DFT energy (no corrections) is -5.9422 eV/atom. The magnetization comes out at 0.00 μB per cell. The calculation puts the energy of formation at 1013 meV/atom. The space group is F-43m, No. 216.



(5)
Here is crystalline P2IrOs at its relaxed geometry from Alexandria. Energies are from PBE.

Cell: 3.2446 3.9299 5.4582 Å, 89.98 90.03 114.38°
Closest atoms and distances in Å follow each position.
Positions (direct):
P 0.2668 0.5950 0.7819  3 Os 2.27-2.36, 1 Ir 2.33
P 0.7659 0.5970 0.2764  3 Ir 2.26-2.39, 1 Os 2.32
Ir 0.0796 0.2232 0.4305  4 P 2.26-2.39
Os 0.9573 0.9761 0.9311  4 P 2.27-2.36

Calculated values
Its total DFT energy (no corrections) is -7.9572 eV/atom. The magnetization comes out at 0.00 μB per cell. The calculation puts the energy of formation at -230 meV/atom. The space group is Cm, No. 8.



(6)
Here is crystalline P2IrOs at its relaxed geometry from Alexandria. Energies are from PBE.

Cell: 2.9898 2.9898 7.8583 Å, 90.00 90.00 120.00°
Closest atoms and distances in Å follow each position.
Positions (direct):
P 0.0000 0.0000 0.3802  3 Os 2.32, 1 Ir 2.38
P 0.3333 0.6667 0.8799  3 Ir 2.32, 1 Os 2.37
Ir 0.0000 0.0000 0.0779  4 P 2.32-2.38
Os 0.3333 0.6667 0.5783  4 P 2.32-2.37

Calculated values
Its total DFT energy (no corrections) is -7.9210 eV/atom. The magnetization comes out at 0.00 μB per cell. The calculation puts the energy of formation at -193 meV/atom. The space group is P3m1, No. 156.